Record 1
Ca2ZrRe | GGA-PBE | relaxed

Calculated values
The value obtained for the total energy is -22.395 eV/cell. Its energy above the most stable polymorph in this dataset is 452 meV/atom. The space group is No. 10. The calculation puts the formation enthalpy at 0 K at 0.6511 eV per atom. Its total magnetization is 0.00 μB/f.u.

abc: 5.2708 2.9641 6.1248
angles: 71.92 90.00 90.00
Last column: nearest neighbours and their distance in Å.
Atoms (fractional coordinates):
Ca (0.0000, 0.4793, 0.4881)  4 Ca 2.86-3.07, 2 Re 3.19
Re (0.5000, 0.2500, 0.2500)  2 Zr 2.96, 2 Re 2.96, 4 Ca 3.19
Ca (0.0000, 0.0207, 0.0119)  4 Ca 2.86-3.07, 2 Re 3.19
Zr (0.5000, 0.7500, 0.7500)  2 Re 2.96, 2 Zr 2.96, 4 Ca 3.31

---

Record 2
CaZrRe2 | GGA-PBE | relaxed

Calculated values
The value obtained for the total energy is -34.120 eV/cell. Its energy above the most stable polymorph in this dataset is 134 meV/atom. The space group is No. 44. The calculation puts the formation enthalpy at 0 K at 0.3316 eV per atom. Its total magnetization is 0.00 μB/f.u.

abc: 5.7761 5.7761 4.9319
angles: 64.72 64.72 32.49
Last column: nearest neighbours and their distance in Å.
Atoms (fractional coordinates):
Ca (0.7375, 0.7375, 0.7625)  6 Re 2.97-3.12, 4 Zr 3.22-3.29, 2 Ca 3.23
Zr (0.5185, 0.5185, 0.4816)  6 Re 2.99-3.02, 4 Ca 3.22-3.29, 2 Zr 3.23
Re (0.2757, 0.2757, 0.2242)  2 Re 2.50
Re (0.9683, 0.9683, 0.0316)  2 Re 2.50

---

Question: total energy of number 2 (CaZrRe2)?
Answer: -34.120 eV/cell

---

Question: Which of these has the highest formation enthalpy at 0 K?
Answer: Ca2ZrRe

---

Question: What is the formula in the second record?
Answer: CaZrRe2

---

Question: What is the formation enthalpy at 0 K in the second record?
Answer: 0.3316 eV per atom